## NaNbZn (PBE)

Data for a relaxed structure of NaNbZn.

Symmetry   P1
ΔE to the lowest computed polymorph   184 meV/atom
Crystal system   triclinic
Formation energy   284 meV/atom

Cell lengths 5.105, 8.743, 2.932 Å; angles 98.63, 72.80, 82.23 degrees
Fractional positions:
Zn (0.246, 0.631, 0.143)
Zn (0.802, 0.708, 0.920)
Nb (0.689, 0.448, 0.398)
Nb (0.193, 0.356, 0.448)
Na (0.756, 0.107, 0.672)
Na (0.300, 0.928, 0.750)